Record 1
Below is crystalline ScAlIn2 at its relaxed geometry, with properties calculated at the PBE-GGA level.

Cell and atoms, written as extended XYZ:
```
4
Lattice="5.3050 0.0042 0.0000 -1.8234 4.9818 0.0000 0.0000 0.0000 3.3187" Properties=species:S:1:pos:R:3 pbc="T T T"
In 1.7408 2.4930 0.0000
In 0.0000 0.0000 0.0000
Sc 2.6525 0.0021 1.6593
Al -0.9117 2.4909 1.6593
```

The value obtained for the calculated formation energy is -0.187 eV per atom. The value obtained for the density is 5.7 g/cm³.

***

Record 2
Below is crystalline K2BeCr at its relaxed geometry, with properties calculated at the PBE-GGA level.

Cell and atoms, written as extended XYZ:
```
4
Lattice="3.6005 0.0136 0.0000 -0.0114 3.6006 0.0000 0.0000 0.0000 10.1059" Properties=species:S:1:pos:R:3 pbc="T T T"
Cr 1.7946 1.8071 7.5794
K 0.0000 0.0000 4.8556
K 0.0000 0.0000 0.1974
Be 1.7946 1.8071 2.5265
```

The value obtained for the calculated formation energy is 1.211 eV per atom. The value obtained for the density is 1.8 g/cm³.

***

Record 3
Below is crystalline ZrTaOs at its relaxed geometry, with properties calculated at the PBE-GGA level.

Cell and atoms, written as extended XYZ:
```
6
Lattice="4.6972 0.1100 -2.5540 -3.0426 4.3898 -0.2661 0.0619 -0.1100 5.3463" Properties=species:S:1:pos:R:3 pbc="T T T"
Zr 0.8419 3.9479 -1.4349
Zr 0.8746 0.4420 3.9611
Ta -1.5213 2.1949 -0.1330
Ta 0.8583 2.1949 1.2631
Os -1.4903 2.1399 2.5401
Os 2.3796 0.0000 1.3961
```

The value obtained for the calculated formation energy is -0.406 eV per atom. The offset from the most stable computed form is 0.000 eV/atom. The value obtained for the density is 13.7 g/cm³.